No. 1
{"formula": "CaEuZnHg", "functional": "PBE", "state": "relaxed", "lattice": [[-3.8625, -1.4502, -3.4090], [-4.7297, -1.6688, 1.8677], [-4.3433, 3.0715, -0.5866]], "species": ["Eu", "Ca", "Zn", "Hg"], "fractional_positions": [[0.2500, 0.2500, 0.2500], [0.7500, 0.7500, 0.7500], [0.0000, 0.0000, 0.0000], [0.5000, 0.5000, 0.5000]], "m_tot_mub_per_fu": 7.2, "dos_at_fermi_per_ev_atom": 1.869, "e_form_mev_per_atom": -394, "density_g_cm3": 7.0}

No. 2
{"formula": "Pm6Si2RuBr3", "functional": "PBE", "state": "relaxed", "lattice": [[4.1620, 0.0000, 0.0000], [0.0000, 9.0006, 0.0926], [-2.0810, -2.8254, 9.1079]], "species": ["Pm", "Si", "Si", "Br", "Ru", "Br", "Br", "Pm", "Pm", "Pm", "Pm", "Pm"], "fractional_positions": [[0.6485, 0.1056, 0.2970], [0.1652, 0.3387, 0.3305], [0.8348, 0.6613, 0.6695], [0.5000, 0.5000, 0.0000], [0.5000, 0.0000, 0.0000], [0.1730, 0.8347, 0.3459], [0.8270, 0.1653, 0.6541], [0.9931, 0.7813, 0.9862], [0.0069, 0.2187, 0.0138], [0.3515, 0.8944, 0.7030], [0.3238, 0.4354, 0.6476], [0.6762, 0.5646, 0.3524]], "m_tot_mub_per_fu": 0.0, "dos_at_fermi_per_ev_atom": 0.532, "density_g_cm3": 6.1, "raw_formation_energy_ev_per_atom": -0.96}

No. 3
{"formula": "NiRuI2N", "functional": "PBE", "state": "relaxed", "lattice": [[-2.2099, 0.9224, -4.9427], [4.7718, -1.3168, -2.3793], [-1.0629, -3.5227, -0.1822]], "species": ["Ru", "I", "Ni", "I", "N"], "fractional_positions": [[0.0000, 0.0000, 0.0000], [0.0000, 0.5000, 0.0000], [0.5000, 0.5000, 0.5000], [0.5000, 0.0000, 0.0000], [0.0000, 0.0000, 0.5000]], "relative_energy_kj_per_mol_fu": 0, "m_tot_mub_per_fu": 1.1, "dos_at_fermi_per_ev_atom": 1.145, "density_g_cm3": 6.4, "raw_formation_energy_ev_per_atom": 0.74}

No. 4
{"formula": "BeTe2As", "functional": "PBE", "state": "relaxed", "lattice": [[5.0185, 0.0028, 0.0000], [-0.0054, 5.0185, 0.0000], [0.0000, 0.0000, 3.4455]], "species": ["Be", "As", "Te", "Te"], "fractional_positions": [[0.0000, 0.5000, 0.5000], [0.5000, 0.0000, 0.5000], [0.0000, 0.0000, 0.0000], [0.5000, 0.5000, 0.0000]], "relative_energy_kj_per_mol_fu": 216, "m_tot_mub_per_fu": 0.0, "dos_at_fermi_per_ev_atom": 0.582, "density_g_cm3": 6.5, "raw_formation_energy_ev_per_atom": 0.60}

No. 5
{"formula": "AsPS2N", "functional": "PBE", "state": "relaxed", "lattice": [[4.7144, 0.0000, 0.0000], [0.0000, 4.7144, 0.0000], [0.0000, 0.0000, 3.2912]], "species": ["N", "S", "P", "As", "S"], "fractional_positions": [[0.0000, 0.0000, 0.5000], [0.5000, 0.0000, 0.0000], [0.0000, 0.0000, 0.0000], [0.5000, 0.5000, 0.5000], [0.0000, 0.5000, 0.0000]], "relative_energy_kj_per_mol_fu": 0, "m_tot_mub_per_fu": 0.0, "dos_at_fermi_per_ev_atom": 0.453, "density_g_cm3": 4.2, "raw_formation_energy_ev_per_atom": 0.62}

No. 6
{"formula": "Sm2Be3CuPt4", "functional": "PBE", "state": "relaxed", "lattice": [[4.0355, 0.0000, 0.0000], [0.0000, 4.0355, 0.0000], [0.0000, 0.0000, 10.0181]], "species": ["Be", "Pt", "Sm", "Pt", "Pt", "Cu", "Be", "Pt", "Be", "Sm"], "fractional_positions": [[0.0000, 0.0000, 0.5000], [0.0000, 0.5000, 0.3523], [0.5000, 0.0000, 0.2481], [0.0000, 0.0000, 0.0000], [0.5000, 0.0000, 0.6477], [0.5000, 0.5000, 0.5000], [0.5000, 0.0000, 0.8816], [0.5000, 0.5000, 0.0000], [0.0000, 0.5000, 0.1184], [0.0000, 0.5000, 0.7519]], "m_tot_mub_per_fu": 0.0, "dos_at_fermi_per_ev_atom": 0.430, "e_form_mev_per_atom": -821, "density_g_cm3": 11.9}

No. 7
{"formula": "Ba3YFe", "functional": "PBE", "state": "relaxed", "lattice": [[5.9314, 0.0000, 0.0000], [0.0000, 5.9314, 0.0000], [0.0000, 0.0000, 5.9314]], "species": ["Fe", "Ba", "Ba", "Ba", "Y"], "fractional_positions": [[0.0000, 0.0000, 0.0000], [0.0000, 0.0000, 0.5000], [0.0000, 0.5000, 0.0000], [0.5000, 0.0000, 0.0000], [0.5000, 0.5000, 0.5000]], "m_tot_mub_per_fu": 0.0, "dos_at_fermi_per_ev_atom": 2.448, "e_form_mev_per_atom": 672, "density_g_cm3": 4.4}

No. 8
{"formula": "KCrMo", "functional": "PBE", "state": "relaxed", "lattice": [[-2.4448, 1.1567, -4.3915], [-0.8931, -4.5096, 2.3380], [-2.0362, 1.1477, 1.4359]], "species": ["K", "Cr", "Mo"], "fractional_positions": [[0.6667, 0.3333, 0.3153], [0.0000, 0.0000, 0.0121], [0.3333, 0.6667, 0.6727]], "relative_energy_kj_per_mol_fu": 175, "m_tot_mub_per_fu": 2.3, "dos_at_fermi_per_ev_atom": 1.010, "e_form_mev_per_atom": 1602, "density_g_cm3": 4.9}

No. 9
{"formula": "Na2SiAgO", "functional": "PBE", "state": "relaxed", "lattice": [[5.6483, 0.0000, 0.0000], [0.0000, 5.6483, 0.0000], [0.0000, 0.0000, 4.6020]], "species": ["Si", "O", "Na", "Ag", "Na"], "fractional_positions": [[0.0000, 0.0000, 0.0000], [0.5000, 0.5000, 0.5000], [0.0000, 0.5000, 0.0000], [0.0000, 0.0000, 0.5000], [0.5000, 0.0000, 0.0000]], "m_tot_mub_per_fu": 0.2, "dos_at_fermi_per_ev_atom": 1.166, "density_g_cm3": 2.2, "raw_formation_energy_ev_per_atom": 0.56}

No. 10
{"formula": "Sr3InPt", "functional": "PBE", "state": "relaxed", "lattice": [[-1.3670, -1.2523, 4.2069], [-4.9766, -7.1274, -1.2269], [5.4838, -7.8778, 1.9488]], "species": ["In", "Pt", "Sr", "Pt", "Sr", "Sr", "Sr", "In", "Sr", "Sr"], "fractional_positions": [[0.5675, 0.2915, 0.5736], [0.7691, 0.3843, 0.0776], [0.1725, 0.9665, 0.6884], [0.2309, 0.6157, 0.9224], [0.4033, 0.2410, 0.9524], [0.8620, 0.5616, 0.7145], [0.1380, 0.4384, 0.2855], [0.4325, 0.7085, 0.4264], [0.8275, 0.0335, 0.3116], [0.5967, 0.7590, 0.0476]], "relative_energy_kj_per_mol_fu": 0, "m_tot_mub_per_fu": 0.0, "dos_at_fermi_per_ev_atom": 0.610, "e_form_mev_per_atom": -522, "density_g_cm3": 5.3}

No. 11
{"formula": "Tc2NiPb", "functional": "PBE", "state": "relaxed", "lattice": [[-4.0607, 0.1175, -2.7167], [-0.2374, -2.6251, 4.1154], [-0.9355, 2.4424, 1.5040]], "species": ["Ni", "Tc", "Tc", "Pb"], "fractional_positions": [[0.5000, 0.0000, 0.5000], [0.5000, 0.5000, 0.0000], [0.0000, 0.0000, 0.0000], [0.0000, 0.5000, 0.5000]], "m_tot_mub_per_fu": 0.0, "dos_at_fermi_per_ev_atom": 1.218, "e_form_mev_per_atom": 660, "density_g_cm3": 11.9}

No. 12
{"formula": "Hf6Mg16Sc7", "functional": "PBE", "state": "relaxed", "lattice": [[8.5058, 0.0000, 4.9108], [2.8353, 8.0194, 4.9108], [0.0000, 0.0000, 9.8217]], "species": ["Mg", "Mg", "Hf", "Mg", "Sc", "Hf", "Mg", "Mg", "Mg", "Hf", "Mg", "Mg", "Sc", "Sc", "Mg", "Mg", "Sc", "Sc", "Mg", "Hf", "Hf", "Mg", "Mg", "Sc", "Hf", "Sc", "Mg", "Mg", "Mg"], "fractional_positions": [[0.1615, 0.1615, 0.5154], [0.8385, 0.8385, 0.8385], [0.8313, 0.8313, 0.1687], [0.3795, 0.8616, 0.3795], [0.0000, 0.0000, 0.5000], [0.8313, 0.1687, 0.8313], [0.3795, 0.3795, 0.3795], [0.8385, 0.8385, 0.4846], [0.1384, 0.6205, 0.6205], [0.1687, 0.8313, 0.1687], [0.8385, 0.4846, 0.8385], [0.6205, 0.6205, 0.6205], [0.5000, 0.5000, 0.0000], [0.0000, 0.5000, 0.5000], [0.8616, 0.3795, 0.3795], [0.6205, 0.6205, 0.1384], [0.5000, 0.0000, 0.5000], [0.5000, 0.5000, 0.5000], [0.1615, 0.1615, 0.1615], [0.1687, 0.8313, 0.8313], [0.1687, 0.1687, 0.8313], [0.5154, 0.1615, 0.1615], [0.4846, 0.8385, 0.8385], [0.0000, 0.5000, 0.0000], [0.8313, 0.1687, 0.1687], [0.5000, 0.0000, 0.0000], [0.3795, 0.3795, 0.8616], [0.6205, 0.1384, 0.6205], [0.1615, 0.5154, 0.1615]], "m_tot_mub_per_fu": 0.0, "dos_at_fermi_per_ev_atom": 0.743, "e_form_mev_per_atom": 260, "density_g_cm3": 4.4}